No. 1
The following is a DFT calculation (PBE) of a relaxed GePF2 crystal.

Cell lengths 4.286, 4.286, 4.286 Å; angles 60.00, 60.00, 60.00 degrees
Positions (direct):
F: 0.250 0.250 0.250
F: 0.750 0.750 0.750
P: 0.000 0.000 0.000
Ge: 0.500 0.500 0.500

Values from the calculation:
M_tot   0.00 μB per formula unit
Space group   Fm-3m (225)
ΔE_f (raw)   -0.31 eV/atom
Relative energy among the computed polymorphs   716 meV per atom

=====

No. 2
The following is a DFT calculation (PBE) of a relaxed CeNd6Sm3 crystal.

Cell lengths 10.055, 10.055, 7.014 Å; angles 44.21, 44.21, 60.00 degrees
Positions (direct):
Nd: 0.580 0.219 0.301
Nd: 0.725 0.075 0.800
Nd: 0.400 0.725 0.800
Nd: 0.075 0.400 0.800
Nd: 0.219 0.900 0.301
Nd: 0.900 0.580 0.301
Ce: 0.900 0.900 0.299
Sm: 0.146 0.146 0.563
Sm: 0.654 0.654 0.037
Sm: 0.400 0.400 0.799

Values from the calculation:
M_tot   1.03 μB per formula unit
Space group   R3 (146)
DFT formation energy   0.2334 eV per atom

=====

No. 3
The following is a DFT calculation (PBE) of a relaxed K2InHPb crystal.

Cell lengths 5.199, 5.199, 5.218 Å; angles 90.00, 90.00, 90.00 degrees
Positions (direct):
K: 0.500 0.000 0.000
K: 0.000 0.500 0.000
Pb: 0.500 0.500 0.500
H: 0.000 0.000 0.000
In: 0.000 0.000 0.500

Values from the calculation:
M_tot   0.00 μB per formula unit
Space group   P4/mmm (123)
E_tot   -11.90 eV per cell

=====

No. 4
The following is a DFT calculation (PBE) of a relaxed Cr5Se crystal.

Cell lengths 4.381, 4.381, 4.396 Å; angles 90.00, 90.00, 120.00 degrees
Positions (direct):
Cr: 0.000 0.669 0.000
Cr: 0.669 0.000 0.000
Cr: 0.333 0.667 0.500
Cr: 0.331 0.331 0.000
Cr: 0.667 0.333 0.500
Se: 0.000 0.000 0.500

Values from the calculation:
M_tot   0.01 μB per formula unit
Space group   P-62m (189)
ΔE_f (raw)   0.34 eV/atom
Relative energy among the computed polymorphs   185 meV per atom

=====

No. 5
The following is a DFT calculation (PBE) of a relaxed Te3SeI crystal.

Cell lengths 5.539, 5.539, 5.539 Å; angles 90.00, 90.00, 90.00 degrees
Positions (direct):
Te: 0.000 0.000 0.500
Te: 0.500 0.000 0.000
Te: 0.000 0.500 0.000
I: 0.500 0.500 0.500
Se: 0.000 0.000 0.000

Values from the calculation:
M_tot   0.00 μB per formula unit
Space group   Pm-3m (221)
ΔE_f (raw)   0.53 eV/atom
Relative energy among the computed polymorphs   270 meV per atom

=====

No. 6
The following is a DFT calculation (PBE) of a relaxed AlFeNiOs crystal.

Cell lengths 4.177, 4.177, 4.177 Å; angles 60.00, 60.00, 60.00 degrees
Positions (direct):
Os: 0.750 0.750 0.750
Fe: 0.500 0.500 0.500
Al: 0.000 0.000 0.000
Ni: 0.250 0.250 0.250

Values from the calculation:
M_tot   4.05 μB per formula unit
Space group   F-43m (216)
DFT formation energy   -0.1894 eV per atom

=====

No. 7
The following is a DFT calculation (PBE) of a relaxed KNaIn2Co crystal.

Cell lengths 5.000, 5.000, 5.581 Å; angles 90.00, 90.00, 90.00 degrees
Positions (direct):
In: 0.500 0.000 0.000
In: 0.000 0.500 0.000
K: 0.500 0.500 0.500
Na: 0.000 0.000 0.500
Co: 0.000 0.000 0.000

Values from the calculation:
M_tot   0.00 μB per formula unit
Space group   P4/mmm (123)
DFT formation energy   0.0621 eV per atom

=====

No. 8
The following is a DFT calculation (PBE) of a relaxed BaDy4In5 crystal.

Cell lengths 3.841, 3.841, 19.433 Å; angles 90.00, 90.00, 90.00 degrees
Positions (direct):
Dy: 0.000 0.000 0.782
Dy: 0.000 0.000 0.406
Dy: 0.000 0.000 0.218
Dy: 0.000 0.000 0.594
In: 0.500 0.500 0.687
In: 0.500 0.500 0.127
In: 0.500 0.500 0.500
In: 0.500 0.500 0.873
In: 0.500 0.500 0.313
Ba: 0.000 0.000 0.000

Values from the calculation:
M_tot   0.00 μB per formula unit
Space group   P4/mmm (123)
DFT formation energy   -0.4450 eV per atom